Record 1
{"formula": "NiOs2Pt", "functional": "PBE", "state": "optimized geometry", "formation_enthalpy_0k_mev_per_atom": 221, "energy_ev_per_atom": -8.3491, "polymorph_energy_mev_per_atom": 172.5, "lattice_angstrom": [[3.772, 0.000, 0.000], [0.000, 3.772, 0.000], [0.000, 0.000, 7.815]], "species": ["Ni", "Ni", "Os", "Os", "Os", "Os", "Pt", "Pt"], "frac_coords": [[0.000, 0.000, 0.000], [0.500, 0.500, 0.500], [0.000, 0.500, 0.250], [0.000, 0.500, 0.750], [0.500, 0.000, 0.250], [0.500, 0.000, 0.750], [0.000, 0.000, 0.500], [0.500, 0.500, 0.000]]}

Record 2
{"formula": "Ni2OsPt", "functional": "PBE", "state": "optimized geometry", "formation_enthalpy_0k_mev_per_atom": 60, "energy_ev_per_atom": -7.1480, "lattice_angstrom": [[8.767, 0.000, 0.000], [0.000, 2.669, 0.000], [-0.780, 0.000, 4.446]], "species": ["Ni", "Ni", "Ni", "Ni", "Os", "Os", "Pt", "Pt"], "frac_coords": [[0.000, 0.000, 0.000], [0.249, 0.500, 0.239], [0.500, 0.500, 0.000], [0.749, 0.000, 0.239], [0.493, 0.000, 0.480], [0.993, 0.500, 0.480], [0.245, 0.000, 0.738], [0.745, 0.500, 0.738]]}

Record 3
{"formula": "NiOsPt4", "functional": "PBE", "state": "optimized geometry", "formation_enthalpy_0k_mev_per_atom": 609, "energy_ev_per_atom": -6.2535, "lattice_angstrom": [[0.000, 3.663, 3.663], [3.663, 0.000, 3.663], [3.663, 3.663, 0.000]], "species": ["Ni", "Os", "Pt", "Pt", "Pt", "Pt"], "frac_coords": [[0.000, 0.000, 0.000], [0.750, 0.750, 0.750], [0.375, 0.375, 0.375], [0.375, 0.375, 0.875], [0.375, 0.875, 0.375], [0.875, 0.375, 0.375]]}

Record 4
{"formula": "NiOsPt2", "functional": "PBE", "state": "optimized geometry", "formation_enthalpy_0k_mev_per_atom": 49, "energy_ev_per_atom": -7.2246, "polymorph_energy_mev_per_atom": 11.6, "lattice_angstrom": [[2.737, 0.000, 0.000], [-1.368, 2.370, 0.000], [0.000, 0.000, 26.387]], "species": ["Ni", "Ni", "Ni", "Os", "Os", "Os", "Pt", "Pt", "Pt", "Pt", "Pt", "Pt"], "frac_coords": [[0.000, 0.000, 0.000], [0.333, 0.667, 0.667], [0.667, 0.333, 0.333], [0.000, 0.000, 0.500], [0.333, 0.667, 0.167], [0.667, 0.333, 0.833], [0.000, 0.000, 0.253], [0.000, 0.000, 0.747], [0.333, 0.667, 0.414], [0.333, 0.667, 0.919], [0.667, 0.333, 0.081], [0.667, 0.333, 0.586]]}

Record 5
{"formula": "Ni2OsPt", "functional": "PBE", "state": "optimized geometry", "formation_enthalpy_0k_mev_per_atom": 103, "energy_ev_per_atom": -7.1055, "lattice_angstrom": [[2.680, 0.000, 0.000], [-1.340, 2.321, 0.000], [0.000, 0.000, 25.526]], "species": ["Ni", "Ni", "Ni", "Ni", "Ni", "Ni", "Os", "Os", "Os", "Pt", "Pt", "Pt"], "frac_coords": [[0.000, 0.000, 0.000], [0.000, 0.000, 0.256], [0.333, 0.667, 0.667], [0.333, 0.667, 0.923], [0.667, 0.333, 0.333], [0.667, 0.333, 0.590], [0.000, 0.000, 0.746], [0.333, 0.667, 0.413], [0.667, 0.333, 0.079], [0.000, 0.000, 0.505], [0.333, 0.667, 0.171], [0.667, 0.333, 0.838]]}

Record 6
{"formula": "NiOsPt2", "functional": "PBE", "state": "optimized geometry", "formation_enthalpy_0k_mev_per_atom": 64, "energy_ev_per_atom": -7.2094, "polymorph_energy_mev_per_atom": 26.9, "lattice_angstrom": [[3.822, 0.000, 0.000], [0.000, 3.822, 0.000], [0.000, 0.000, 7.743]], "species": ["Ni", "Ni", "Os", "Os", "Pt", "Pt", "Pt", "Pt"], "frac_coords": [[0.000, 0.000, 0.000], [0.500, 0.500, 0.500], [0.000, 0.000, 0.500], [0.500, 0.500, 0.000], [0.000, 0.500, 0.250], [0.000, 0.500, 0.750], [0.500, 0.000, 0.250], [0.500, 0.000, 0.750]]}